No. 1
# Ta2SiBr

A crystal of Ta2SiBr relaxed with PBEsol (SCAN, Alexandria).

The structure in POSCAR format:
```
Ta2SiBr
1.0
-3.5826 3.5826 2.8764
3.5826 -3.5826 2.8764
3.5826 3.5826 -2.8764
Ta Si Br
4 2 2
direct
0.1001 0.1250 0.4751
0.3750 0.8999 0.0249
0.6499 0.6250 0.5249
0.8750 0.3501 0.9751
0.0000 0.0000 0.0000
0.7500 0.2500 0.5000
0.2500 0.7500 0.5000
0.5000 0.5000 0.0000
```

Summary:
- Relative energy among the computed polymorphs: 744 meV/atom
- Space-group type: I-42d (122)
- Raw formation energy: 0.94 eV per atom


No. 2
# TaSiBr2

A crystal of TaSiBr2 relaxed with PBEsol (SCAN, Alexandria).

The structure in POSCAR format:
```
TaSiBr2
1.0
3.0281 -4.6916 0.0000
3.0281 4.6916 0.0000
-1.5938 0.0000 2.7117
Ta Si Br
1 1 2
direct
0.0000 0.0000 0.0000
0.5000 0.5000 0.0000
0.0000 0.5000 0.0000
0.5000 0.0000 0.0000
```

Summary:
- Relative energy among the computed polymorphs: 162 meV/atom
- Space-group type: C2/m (12)
- Raw formation energy: 0.77 eV per atom


Among the records above, which one has the highest raw formation energy?
Ta2SiBr